Li4YP, relaxed, DFT PBE-GGA; formation energy from the elements = -7.0 kcal/mol of atoms; DFT total energy = -3.56 eV/atom; total moment = 0.00 μB/cell
1.0
2.5099 3.1458 2.1464
-3.8181 -1.5784 1.9322
3.0653 -4.2240 2.6065
Li Y P
4 1 1
Direct
0.6667 0.3333 0.2864
0.6667 0.3333 0.7136
0.3333 0.6667 0.2864
0.3333 0.6667 0.7136
0.0000 0.0000 0.0000
0.0000 0.0000 0.5000